RbSbAu2Br | meta-GGA SCAN | PBEsol geometry

The calculation puts the uncorrected formation energy at -0.49 eV/atom. The total energy comes out at -43.649 eV/atom. The density is 7.002 g/cm³.

a = 5.198 Å, b = 5.198 Å, c = 5.977 Å
α = 90.00°, β = 90.00°, γ = 90.00°
Space group P4/mmm (No. 123)
One atom of each set of equivalent atoms:
Rb (0.000, 0.000, 0.000) x1
Sb (0.500, 0.500, 0.500) x1
Au (0.000, 0.500, 0.500) x2
Br (0.500, 0.500, 0.000) x1